Entry 1:
## Zr5Pd3 (GGA-PBE)

Data for an optimized crystal structure of Zr5Pd3.

Summary:
The calculated density comes out at 8.075 g/cm³. The value obtained for the formation energy is -499 meV per atom. As for the symmetry: No. 123.

a b c (Å): 3.289 3.289 14.737
angles (deg): 90.00 90.00 90.00
Fractional coordinates of all 8 atoms:
Zr: 0.000 0.000 0.000
Zr: 0.000 0.000 0.241
Zr: 0.000 0.000 0.759
Zr: 0.500 0.500 0.382
Zr: 0.500 0.500 0.618
Pd: 0.000 0.000 0.500
Pd: 0.500 0.500 0.124
Pd: 0.500 0.500 0.876

Entry 2:
## BeRuSe2 (GGA-PBE)

Data for an optimized crystal structure of BeRuSe2.

Summary:
The calculated density comes out at 5.259 g/cm³. Its total DFT energy (no corrections) is -4.962 eV/atom. As for the symmetry: No. 166.

a b c (Å): 6.878 6.878 6.878
angles (deg): 32.73 32.73 32.73
Fractional coordinates of all 4 atoms:
Be: 0.000 0.000 0.000
Ru: 0.500 0.500 0.500
Se: 0.106 0.106 0.106
Se: 0.894 0.894 0.894

Entry 3:
## Sn2PtRh (GGA-PBE)

Data for an optimized crystal structure of Sn2PtRh.

Summary:
The calculated density comes out at 11.015 g/cm³. The energy above the most stable polymorph in this dataset is 262 meV/atom. The value obtained for the formation energy is -91 meV per atom. As for the symmetry: No. 166.

a b c (Å): 9.393 9.393 9.393
angles (deg): 19.50 19.50 19.50
Fractional coordinates of all 4 atoms:
Sn: 0.094 0.094 0.094
Sn: 0.906 0.906 0.906
Pt: 0.000 0.000 0.000
Rh: 0.500 0.500 0.500

Entry 4:
## GaBiPSe (GGA-PBE)

Data for an optimized crystal structure of GaBiPSe.

Summary:
The calculated density comes out at 5.987 g/cm³. The energy above the most stable polymorph in this dataset is 123 meV/atom. As for the symmetry: No. 1.

a b c (Å): 4.008 4.008 7.520
angles (deg): 96.10 104.06 109.93
Fractional coordinates of all 4 atoms:
Ga: 0.000 0.000 0.000
Bi: 0.668 0.848 0.516
P: 0.200 0.140 0.340
Se: 0.295 0.583 0.878

Entry 5:
## P3C (GGA-PBE)

Data for an optimized crystal structure of P3C.

Summary:
The calculated density comes out at 3.115 g/cm³. The energy above the most stable polymorph in this dataset is 702 meV/atom. The value obtained for the formation energy is 1110 meV per atom. As for the symmetry: No. 65.

a b c (Å): 3.211 3.211 7.096
angles (deg): 90.00 90.00 130.15
Fractional coordinates of all 4 atoms:
P: 0.000 0.000 0.000
P: 0.500 0.500 0.317
P: 0.500 0.500 0.683
C: 0.000 0.000 0.500

Entry 6:
## CeMgIn (GGA-PBE)

Data for an optimized crystal structure of CeMgIn.

Summary:
The calculated density comes out at 4.991 g/cm³. The value obtained for the formation energy is -84 meV per atom. As for the symmetry: No. 216.

a b c (Å): 5.084 5.084 5.084
angles (deg): 60.00 60.00 60.00
Fractional coordinates of all 3 atoms:
Ce: 0.000 0.000 0.000
Mg: 0.500 0.500 0.500
In: 0.750 0.750 0.750

Entry 7:
## BaAcPrEu (GGA-PBE)

Data for an optimized crystal structure of BaAcPrEu.

Summary:
The calculated density comes out at 6.067 g/cm³. The value obtained for the formation energy is 159 meV per atom. As for the symmetry: No. 216.

a b c (Å): 6.336 6.336 6.336
angles (deg): 60.00 60.00 60.00
Fractional coordinates of all 4 atoms:
Ba: 0.000 0.000 0.000
Ac: 0.750 0.750 0.750
Pr: 0.500 0.500 0.500
Eu: 0.250 0.250 0.250

Entry 8:
## CaSb3Pd5 (GGA-PBE)

Data for an optimized crystal structure of CaSb3Pd5.

Summary:
The calculated density comes out at 8.064 g/cm³. Its total DFT energy (no corrections) is -5.042 eV/atom. As for the symmetry: No. 63.

a b c (Å): 7.417 7.417 13.168
angles (deg): 90.00 90.00 147.79
Fractional coordinates of all 18 atoms:
Ca: 0.099 0.901 0.750
Ca: 0.901 0.099 0.250
Sb: 0.134 0.866 0.250
Sb: 0.380 0.620 0.051
Sb: 0.380 0.620 0.449
Sb: 0.620 0.380 0.551
Sb: 0.620 0.380 0.949
Sb: 0.866 0.134 0.750
Pd: 0.000 0.000 0.000
Pd: 0.000 0.000 0.500
Pd: 0.196 0.804 0.059
Pd: 0.196 0.804 0.441
Pd: 0.447 0.553 0.644
Pd: 0.447 0.553 0.856
Pd: 0.553 0.447 0.144
Pd: 0.553 0.447 0.356
Pd: 0.804 0.196 0.559
Pd: 0.804 0.196 0.941